1.
Material: Pm3PdRh2
Method: DFT, PBE
State: optimized geometry

Output
energy of formation from the pure elements: -4.4 eV per formula unit
ρ: 9.30 Mg/m³

a = 5.0097 Å, b = 14.9483 Å, c = 3.5621 Å
α = 90.00°, β = 90.00°, γ = 90.00°
Space group Cmmm (No. 65)
Inequivalent atoms, fractional coordinates:
1 Pm 0.0000 0.0000 0.0000 [2 per cell]
2 Pm 0.0000 0.3299 0.0000 [4 per cell]
3 Pd 0.0000 0.5000 0.5000 [2 per cell]
4 Rh 0.0000 0.1655 0.5000 [4 per cell]

***

2.
Material: CePPdO
Method: DFT, PBE
State: optimized geometry

Output
final energy: -7.30 eV per atom
ρ: 7.41 Mg/m³

a = 4.0239 Å, b = 4.0239 Å, c = 8.1207 Å
α = 90.00°, β = 90.00°, γ = 90.00°
Space group P4/nmm (No. 129, origin choice 2)
Inequivalent atoms, fractional coordinates:
1 Ce 0.2500 0.2500 0.1493 [2 per cell]
2 P 0.2500 0.2500 0.6686 [2 per cell]
3 Pd 0.2500 0.7500 0.5000 [2 per cell]
4 O 0.2500 0.7500 0.0000 [2 per cell]

***

3.
Material: TaTi2Al5Pd2
Method: DFT, PBE
State: optimized geometry

Output
energy of formation from the pure elements: -4.5 eV per formula unit
ρ: 6.39 Mg/m³

a = 8.9194 Å, b = 8.9194 Å, c = 4.0771 Å
α = 90.00°, β = 90.00°, γ = 90.00°
Space group P4/mbm (No. 127)
Inequivalent atoms, fractional coordinates:
1 Ta 0.0000 0.0000 0.0000 [2 per cell]
2 Ti 0.1783 0.3217 0.0000 [4 per cell]
3 Al 0.0000 0.5000 0.5000 [2 per cell]
4 Al 0.0660 0.7959 0.5000 [8 per cell]
5 Pd 0.1204 0.6204 0.0000 [4 per cell]

***

4.
Material: ZnRuIN2
Method: DFT, PBE
State: optimized geometry

Output
relative energy among the computed polymorphs: 1065 meV per atom
ρ: 5.46 Mg/m³

a = 3.9166 Å, b = 3.9166 Å, c = 6.3776 Å
α = 90.00°, β = 90.00°, γ = 90.00°
Space group P4/mmm (No. 123)
Inequivalent atoms, fractional coordinates:
1 Zn 0.0000 0.0000 0.0000 [1 per cell]
2 Ru 0.5000 0.5000 0.5000 [1 per cell]
3 I 0.0000 0.0000 0.5000 [1 per cell]
4 N 0.0000 0.5000 0.0000 [2 per cell]

***

What is the ρ in the fourth record? 5.46 Mg/m³